Below is a geometry-optimized Li2BeCrF6 structure, with properties calculated at the PBE+U level.

Cell lengths 4.1180, 5.3975, 5.3975 Å; angles 90.00, 90.00, 90.00 degrees
Last column: magnetic moment on the atom in μB.
Element x y z (fractional)
F 0.1561 0.5000 0.5000  0.00
Cr 0.6442 0.5000 0.5000  3.81
Be 0.6269 0.0000 0.0000  0.01
F 0.7359 0.2241 0.7759  0.01
F 0.2632 0.0000 0.0000  0.00
Li 0.9064 0.5000 0.0000  0.00
F 0.7359 0.7759 0.2241  0.01
F 0.7359 0.2241 0.2241  0.01
F 0.7359 0.7759 0.7759  0.01
Li 0.9064 0.0000 0.5000  0.00

## Properties
- final energy (Ry per atom) = -0.393
- D(E_F) (states/eV per atom) = 0.000
- crystal system = tetragonal
- space-group type = No. 99